A relaxed SrGe2Te2 crystal. Source: Alexandria, functional PBE.

```
data_SrGe2Te2
_space_group_name_H-M_alt 'P 4/m b m'
_space_group_IT_number 127
_space_group_name_Hall '-P 4 2ab'
_cell_length_a 8.3240
_cell_length_b 8.3240
_cell_length_c 4.0816
_cell_angle_alpha 90.00
_cell_angle_beta 90.00
_cell_angle_gamma 90.00
loop_
_atom_site_label
_atom_site_type_symbol
_atom_site_fract_x
_atom_site_fract_y
_atom_site_fract_z
Sr1 Sr 0.0000 0.0000 0.0000
Ge1 Ge 0.1182 0.3818 0.0000
Te1 Te 0.2118 0.7118 0.5000
```

Size of the total moment, μB per atom: 0.0000
E_tot, eV/atom: -3.782
Formation energy from raw total energies, kcal/mol of atoms: -7.89